Entry 1:
This record from OQMD via LeMat-Bulk describes a relaxed structure of RbTbTe4Au3. The functional is PBE.

Lattice parameters (Å, degrees): 6.9493 6.9493 6.9493 90.00 90.00 90.00
Atoms (fractional coordinates):
Rb: 0.0000 0.0000 0.0000
Tb: 0.5000 0.5000 0.5000
Te: 0.2660 0.2660 0.2660
Te: 0.2660 0.7340 0.7340
Te: 0.7340 0.2660 0.7340
Te: 0.7340 0.7340 0.2660
Au: 0.0000 0.5000 0.5000
Au: 0.5000 0.0000 0.5000
Au: 0.5000 0.5000 0.0000

Energy above the most stable polymorph in this dataset ... 1.25 eV per formula unit



Entry 2:
This record from OQMD via LeMat-Bulk describes a relaxed structure of ScCdBi2. The functional is PBE.

Lattice parameters (Å, degrees): 5.3783 5.3783 5.3783 60.00 60.00 60.00
Atoms (fractional coordinates):
Sc: 0.0000 0.0000 0.0000
Cd: 0.2500 0.2500 0.2500
Bi: 0.5000 0.5000 0.5000
Bi: 0.7500 0.7500 0.7500



Entry 3:
This record from OQMD via LeMat-Bulk describes a relaxed structure of Co3Re2. The functional is PBE.

Lattice parameters (Å, degrees): 8.9895 8.9895 4.5855 90.00 90.00 90.00
Atoms (fractional coordinates):
Co: 0.0000 0.0000 0.0000
Co: 0.0658 0.2555 0.0000
Co: 0.1836 0.8164 0.2501
Co: 0.1836 0.8164 0.7499
Co: 0.2445 0.5658 0.5000
Co: 0.2555 0.0658 0.0000
Co: 0.3164 0.3164 0.2499
Co: 0.3164 0.3164 0.7501
Co: 0.4342 0.7555 0.5000
Co: 0.5000 0.5000 0.5000
Co: 0.5658 0.2445 0.5000
Co: 0.6836 0.6836 0.2499
Co: 0.6836 0.6836 0.7501
Co: 0.7445 0.9342 0.0000
Co: 0.7555 0.4342 0.5000
Co: 0.8164 0.1836 0.2501
Co: 0.8164 0.1836 0.7499
Co: 0.9342 0.7445 0.0000
Re: 0.0352 0.3656 0.5000
Re: 0.0988 0.0988 0.5000
Re: 0.1344 0.5352 0.0000
Re: 0.3656 0.0352 0.5000
Re: 0.4012 0.5988 0.0000
Re: 0.4648 0.8656 0.0000
Re: 0.5352 0.1344 0.0000
Re: 0.5988 0.4012 0.0000
Re: 0.6344 0.9648 0.5000
Re: 0.8656 0.4648 0.0000
Re: 0.9012 0.9012 0.5000
Re: 0.9648 0.6344 0.5000

Energy above the most stable polymorph in this dataset ... 0.00 eV per formula unit
Formation energy from the elements ... 81.2 meV per atom



Per-record final energy, eV/atom: -3.53; -3.84; -9.15